1.
The following is a DFT calculation (PBE) of crystalline H2PtO at its relaxed geometry.

Symmetry: No. 225
Crystal system: cubic
E in eV per atom: -3.641
Total magnetic moment in μB/cell: 0.00

extended XYZ file:
```
4
Lattice="-0.6042 -1.1482 3.2187 0.5684 2.0796 2.7194 -2.6787 1.2539 1.8153" Properties=species:S:1:pos:R:3 pbc="T T T"
H -0.6786 0.5463 1.9384
H -2.0359 1.6390 5.8151
Pt -1.3572 1.0927 3.8767
O 0.0000 0.0000 0.0000
```

---

2.
The following is a DFT calculation (PBE) of crystalline Dy4ErTm7 at its relaxed geometry.

Symmetry: No. 12
Crystal system: monoclinic
E in eV per atom: -4.220
Calculated formation energy in eV per atom: 0.302
Total magnetic moment in μB/cell: 0.41

extended XYZ file:
```
12
Lattice="-0.1736 -4.2351 -3.9200 -3.0868 -9.2609 5.8903 -5.8291 -0.8853 -3.0370" Properties=species:S:1:pos:R:3 pbc="T T T"
Dy -2.2186 -4.1764 0.3587
Dy -5.3801 -9.1567 1.6278
Dy -3.7094 -5.2246 -2.6944
Dy -6.8709 -10.2049 -1.4254
Tm -3.0066 -7.5347 -0.2297
Tm -3.2226 -6.7618 3.1964
Tm -5.8669 -7.6195 -4.2630
Tm -3.1850 -2.0400 -1.9065
Tm -5.9045 -12.3412 0.8399
Tm -6.0830 -6.8466 -0.8369
Tm -0.0868 -2.1175 -1.9600
Er 0.0000 0.0000 0.0000
```

---

3.
The following is a DFT calculation (PBE) of crystalline TiPdAu3 at its relaxed geometry.

Symmetry: No. 221
Crystal system: cubic
E in eV per atom: -3.742
Calculated formation energy in eV per atom: 0.842
Total magnetic moment in μB/cell: 0.00

extended XYZ file:
```
5
Lattice="-0.2158 -1.7883 -4.5596 4.8927 -0.2858 -0.1194 -0.2222 -4.5557 1.7974" Properties=species:S:1:pos:R:3 pbc="T T T"
Ti 0.0000 0.0000 0.0000
Au -0.1111 -2.2779 0.8987
Au 2.4463 -0.1429 -0.0597
Au -0.1079 -0.8942 -2.2798
Pd 2.2273 -3.3149 -1.4408
```

---

4.
The following is a DFT calculation (PBE) of crystalline La2Pm5Tl at its relaxed geometry.

Symmetry: No. 139
Crystal system: tetragonal
E in eV per atom: -4.555
Calculated formation energy in eV per atom: -0.058
Total magnetic moment in μB/cell: 0.00

extended XYZ file:
```
8
Lattice="7.1821 0.0002 0.0002 0.0004 7.1805 -0.0009 -3.5913 -3.5890 5.1328" Properties=species:S:1:pos:R:3 pbc="T T T"
Pm -1.7947 1.7968 4.8455
Pm -1.7946 -1.7941 4.8466
Pm 3.5913 3.5910 2.2789
Pm 1.7949 -1.7945 4.8473
Pm 1.7947 1.7966 4.8460
La 3.5905 0.0003 2.2803
La 0.0007 3.5911 2.2778
Tl -0.0002 0.0007 2.2825
```

---

Which of these has the highest E? H2PtO